Entry from Alexandria via LeMat-Bulk: a relaxed structure of CaDy2FeO5 (GGA+U).

a b c (Å): 6.4501 6.4501 5.5773
angles (deg): 90.00 90.00 90.00
With the nearest neighbours (Å) after each atom.
Fractional positions:
Ca1 0.0000 0.0000 0.0000  10 O 2.79-2.81
Ca2 0.5000 0.5000 0.0000  10 O 2.79-2.81
Dy1 0.1724 0.3276 0.5000  4 O 2.20-2.39
Dy2 0.3276 0.8276 0.5000  4 O 2.20-2.39
Dy3 0.6724 0.1724 0.5000  4 O 2.20-2.39
Dy4 0.8276 0.6724 0.5000  4 O 2.20-2.39
Fe1 0.0000 0.5000 0.0000  4 O 1.89
Fe2 0.5000 0.0000 0.0000  4 O 1.89
O1 0.0000 0.0000 0.5000  4 Dy 2.39
O2 0.1451 0.6451 0.2409  1 Fe 1.89
O3 0.1451 0.6451 0.7591  1 Fe 1.89
O4 0.3549 0.1451 0.2409  1 Fe 1.89
O5 0.3549 0.1451 0.7591  1 Fe 1.89
O6 0.5000 0.5000 0.5000  4 Dy 2.39
O7 0.6451 0.8549 0.2409  1 Fe 1.89
O8 0.6451 0.8549 0.7591  1 Fe 1.89
O9 0.8549 0.3549 0.2409  1 Fe 1.89
O10 0.8549 0.3549 0.7591  1 Fe 1.89

Values from the calculation:
* energy: -131.60 eV for the cell shown
* space group: P4/mbm (127)
* magnetic moment: 4.0 Bohr magnetons per cell